Entry 1:
Here is an optimized crystal structure of TmMgTlSe3 from the Open Quantum Materials Database. Energies are from PBE.

Lattice parameters (Å, degrees): 14.8205 4.1877 11.2202 90.00 90.00 90.00
With the nearest neighbours (Å) after each atom.
Fractional positions:
Se1 0.4051 0.2500 0.4202  3 Tm 2.77-2.86
Tl1 0.7448 0.7500 0.0457  2 Se 3.19
Tm1 0.0258 0.7500 0.1500  6 Se 2.77-3.00
Se2 0.0949 0.7500 0.9202  3 Tm 2.77-2.86
Tl2 0.7552 0.2500 0.5457  2 Se 3.19
Mg1 0.5218 0.2500 0.1001  4 Se 2.55-2.62
Se3 0.0789 0.2500 0.6212  3 Mg 2.58-2.62
Se4 0.4211 0.7500 0.1212  3 Mg 2.58-2.62
Se5 0.6396 0.2500 0.2653  1 Mg 2.55
Mg2 0.4782 0.7500 0.8999  4 Se 2.55-2.62
Se6 0.5789 0.2500 0.8788  3 Mg 2.58-2.62
Se7 0.5949 0.7500 0.5798  3 Tm 2.77-2.86
Se8 0.3604 0.7500 0.7347  1 Mg 2.55
Tm2 0.9742 0.2500 0.8500  6 Se 2.77-3.00
Tm3 0.5258 0.7500 0.3500  6 Se 2.77-3.00
Se9 0.9051 0.2500 0.0798  3 Tm 2.77-2.86
Tl3 0.2552 0.2500 0.9543  2 Se 3.19
Se10 0.1396 0.2500 0.2347  1 Mg 2.55
Se11 0.9211 0.7500 0.3788  3 Mg 2.58-2.62
Se12 0.8604 0.7500 0.7653  1 Mg 2.55
Tm4 0.4742 0.2500 0.6500  6 Se 2.77-3.00
Mg3 0.9782 0.7500 0.6001  4 Se 2.55-2.62
Tl4 0.2448 0.7500 0.4543  2 Se 3.19
Mg4 0.0218 0.2500 0.3999  4 Se 2.55-2.62

## Properties
Energy (eV/atom): -4.422


Entry 2:
Here is an optimized crystal structure of TmMgSe2 from the Open Quantum Materials Database. Energies are from PBE.

Lattice parameters (Å, degrees): 4.2850 4.2850 7.3922 90.00 90.00 120.00
With the nearest neighbours (Å) after each atom.
Fractional positions:
Se1 0.0000 0.0000 0.8446  1 Mg 2.62, 3 Tm 2.79
Tm1 0.6667 0.3333 0.0202  4 Se 2.77-2.79
Mg1 0.0000 0.0000 0.4898  4 Se 2.57-2.62
Se2 0.6667 0.3333 0.3954  3 Mg 2.57, 1 Tm 2.77

## Properties
Energy (eV/atom): -4.444


Entry 3:
Here is an optimized crystal structure of MgZn2Se3 from the Open Quantum Materials Database. Energies are from PBE.

Lattice parameters (Å, degrees): 6.6348 6.6348 10.8897 90.00 90.00 32.52
With the nearest neighbours (Å) after each atom.
Fractional positions:
Se1 0.8836 0.8836 0.7500  2 Zn 2.47, 2 Mg 2.75
Mg1 0.7758 0.7758 0.2500  6 Se 2.75-2.91
Se2 0.3682 0.3682 0.0750  3 Zn 2.45-2.63
Zn1 0.5110 0.5110 0.7500  4 Se 2.45-2.47
Zn2 0.0000 0.0000 0.0000  4 Se 2.63
Zn3 0.0000 0.0000 0.5000  4 Se 2.63
Se3 0.6318 0.6318 0.5750  3 Zn 2.45-2.63
Se4 0.1164 0.1164 0.2500  2 Zn 2.47, 2 Mg 2.75
Se5 0.6318 0.6318 0.9250  3 Zn 2.45-2.63
Se6 0.3682 0.3682 0.4250  3 Zn 2.45-2.63
Zn4 0.4890 0.4890 0.2500  4 Se 2.45-2.47
Mg2 0.2242 0.2242 0.7500  6 Se 2.75-2.91

## Properties
Energy (eV/atom): -3.019